1.
VASP calculation (GGA-PBE) on crystalline RbNi2Bi at its relaxed geometry.

```
data_RbNi2Bi
_cell_length_a 8.062
_cell_length_b 8.062
_cell_length_c 6.863
_cell_angle_alpha 54.03
_cell_angle_beta 54.03
_cell_angle_gamma 90.00
_symmetry_space_group_name_H-M 'P 1'
_symmetry_Int_Tables_number 1
loop_
_symmetry_equiv_pos_as_xyz
'x,y,z'
loop_
_atom_site_label
_atom_site_fract_x
_atom_site_fract_y
_atom_site_fract_z
Bi1 0.000 0.000 0.000
Ni1 0.735 0.125 0.250
Ni2 0.375 0.265 0.750
Ni3 0.875 0.985 0.750
Rb1 0.250 0.750 0.500
Ni4 0.015 0.625 0.250
Rb2 0.500 0.500 0.000
Bi2 0.750 0.250 0.500
```

Computed properties:
E_form = 0.641 eV per atom
Energy = -27.7 eV per cell
Total magnetization = 0.000 μB/cell

---

2.
VASP calculation (GGA-PBE) on crystalline RbNiBiRh2 at its relaxed geometry.

```
data_RbNiBiRh2
_cell_length_a 4.959
_cell_length_b 4.610
_cell_length_c 4.959
_cell_angle_alpha 90.00
_cell_angle_beta 90.00
_cell_angle_gamma 90.00
_symmetry_space_group_name_H-M 'P 1'
_symmetry_Int_Tables_number 1
loop_
_symmetry_equiv_pos_as_xyz
'x,y,z'
loop_
_atom_site_label
_atom_site_fract_x
_atom_site_fract_y
_atom_site_fract_z
Rb1 0.000 0.000 0.000
Rh1 0.500 0.000 0.000
Rh2 0.000 0.000 0.500
Bi1 0.500 0.500 0.500
Ni1 0.000 0.500 0.000
```

Computed properties:
E_form = 1.844 eV per atom
Energy = -16.1 eV per cell
Total magnetization = 0.000 μB/cell

---

3.
VASP calculation (GGA-PBE) on crystalline RbTaNi2Bi at its relaxed geometry.

```
data_RbTaNi2Bi
_cell_length_a 4.844
_cell_length_b 6.021
_cell_length_c 4.844
_cell_angle_alpha 90.00
_cell_angle_beta 90.00
_cell_angle_gamma 90.00
_symmetry_space_group_name_H-M 'P 1'
_symmetry_Int_Tables_number 1
loop_
_symmetry_equiv_pos_as_xyz
'x,y,z'
loop_
_atom_site_label
_atom_site_fract_x
_atom_site_fract_y
_atom_site_fract_z
Ta1 0.500 0.500 0.500
Ni1 0.000 0.000 0.500
Bi1 0.000 0.000 0.000
Ni2 0.500 0.000 0.000
Rb1 0.000 0.500 0.000
```

Computed properties:
E_form = 2.023 eV per atom
Energy = -18.1 eV per cell
Total magnetization = 0.000 μB/cell

---

4.
VASP calculation (GGA-PBE) on crystalline ReNiBi2 at its relaxed geometry.

```
data_ReNiBi2
_cell_length_a 6.037
_cell_length_b 6.037
_cell_length_c 7.473
_cell_angle_alpha 66.18
_cell_angle_beta 66.18
_cell_angle_gamma 90.00
_symmetry_space_group_name_H-M 'P 1'
_symmetry_Int_Tables_number 1
loop_
_symmetry_equiv_pos_as_xyz
'x,y,z'
loop_
_atom_site_label
_atom_site_fract_x
_atom_site_fract_y
_atom_site_fract_z
Ni1 0.250 0.750 0.500
Bi1 0.139 0.625 0.250
Bi2 0.611 0.125 0.250
Ni2 0.500 0.500 0.000
Bi3 0.875 0.861 0.750
Re1 0.750 0.250 0.500
Bi4 0.375 0.389 0.750
Re2 0.000 0.000 0.000
```

Computed properties:
E_form = 1.106 eV per atom
Energy = -43.1 eV per cell
Polymorph energy (0 for the lowest one) = 278 meV/atom
Total magnetization = 0.000 μB/cell

---

5.
VASP calculation (GGA-PBE) on crystalline ReNiBi2 at its relaxed geometry.

```
data_ReNiBi2
_cell_length_a 4.824
_cell_length_b 4.824
_cell_length_c 4.824
_cell_angle_alpha 60.00
_cell_angle_beta 60.00
_cell_angle_gamma 60.00
_symmetry_space_group_name_H-M 'P 1'
_symmetry_Int_Tables_number 1
loop_
_symmetry_equiv_pos_as_xyz
'x,y,z'
loop_
_atom_site_label
_atom_site_fract_x
_atom_site_fract_y
_atom_site_fract_z
Ni1 0.000 0.000 0.000
Bi1 0.250 0.250 0.250
Re1 0.500 0.500 0.500
Bi2 0.750 0.750 0.750
```

Computed properties:
E_form = 0.828 eV per atom
Energy = -22.7 eV per cell
Polymorph energy (0 for the lowest one) = 0 meV/atom
Total magnetization = 0.006 μB/cell

---

6.
VASP calculation (GGA-PBE) on crystalline ReNi3Bi at its relaxed geometry.

```
data_ReNi3Bi
_cell_length_a 4.564
_cell_length_b 4.564
_cell_length_c 4.564
_cell_angle_alpha 90.00
_cell_angle_beta 90.00
_cell_angle_gamma 90.00
_symmetry_space_group_name_H-M 'P 1'
_symmetry_Int_Tables_number 1
loop_
_symmetry_equiv_pos_as_xyz
'x,y,z'
loop_
_atom_site_label
_atom_site_fract_x
_atom_site_fract_y
_atom_site_fract_z
Ni1 0.500 0.000 0.000
Bi1 0.500 0.500 0.500
Re1 0.000 0.000 0.000
Ni2 0.000 0.500 0.000
Ni3 0.000 0.000 0.500
```

Computed properties:
E_form = 1.064 eV per atom
Energy = -28.4 eV per cell
Polymorph energy (0 for the lowest one) = 0 meV/atom
Total magnetization = 0.000 μB/cell

---

7.
VASP calculation (GGA-PBE) on crystalline ReNiBi3 at its relaxed geometry.

```
data_ReNiBi3
_cell_length_a 5.299
_cell_length_b 5.299
_cell_length_c 5.299
_cell_angle_alpha 90.00
_cell_angle_beta 90.00
_cell_angle_gamma 90.00
_symmetry_space_group_name_H-M 'P 1'
_symmetry_Int_Tables_number 1
loop_
_symmetry_equiv_pos_as_xyz
'x,y,z'
loop_
_atom_site_label
_atom_site_fract_x
_atom_site_fract_y
_atom_site_fract_z
Bi1 0.500 0.000 0.000
Bi2 0.000 0.500 0.000
Ni1 0.500 0.500 0.500
Bi3 0.000 0.000 0.500
Re1 0.000 0.000 0.000
```

Computed properties:
E_form = 1.194 eV per atom
Energy = -23.9 eV per cell
Polymorph energy (0 for the lowest one) = 15 meV/atom
Total magnetization = 0.000 μB/cell

---

8.
VASP calculation (GGA-PBE) on crystalline ReNi2Bi at its relaxed geometry.

```
data_ReNi2Bi
_cell_length_a 4.126
_cell_length_b 4.126
_cell_length_c 8.961
_cell_angle_alpha 76.69
_cell_angle_beta 76.69
_cell_angle_gamma 90.00
_symmetry_space_group_name_H-M 'P 1'
_symmetry_Int_Tables_number 1
loop_
_symmetry_equiv_pos_as_xyz
'x,y,z'
loop_
_atom_site_label
_atom_site_fract_x
_atom_site_fract_y
_atom_site_fract_z
Bi1 0.750 0.250 0.500
Bi2 0.000 0.000 0.000
Re1 0.250 0.750 0.500
Re2 0.500 0.500 0.000
Ni1 0.375 0.468 0.750
Ni2 0.875 0.782 0.750
Ni3 0.218 0.625 0.250
Ni4 0.532 0.125 0.250
```

Computed properties:
E_form = 0.924 eV per atom
Energy = -48.4 eV per cell
Total magnetization = 0.014 μB/cell

---

9.
VASP calculation (GGA-PBE) on crystalline ReNiBi3 at its relaxed geometry.

```
data_ReNiBi3
_cell_length_a 5.071
_cell_length_b 5.071
_cell_length_c 5.071
_cell_angle_alpha 90.00
_cell_angle_beta 90.00
_cell_angle_gamma 90.00
_symmetry_space_group_name_H-M 'P 1'
_symmetry_Int_Tables_number 1
loop_
_symmetry_equiv_pos_as_xyz
'x,y,z'
loop_
_atom_site_label
_atom_site_fract_x
_atom_site_fract_y
_atom_site_fract_z
Bi1 0.000 0.500 0.000
Bi2 0.000 0.000 0.500
Bi3 0.500 0.000 0.000
Ni1 0.000 0.000 0.000
Re1 0.500 0.500 0.500
```

Computed properties:
E_form = 1.179 eV per atom
Energy = -24.0 eV per cell
Polymorph energy (0 for the lowest one) = 0 meV/atom
Total magnetization = 2.769 μB/cell

---

10.
VASP calculation (GGA-PBE) on crystalline TiRe2NiBi at its relaxed geometry.

```
data_TiRe2NiBi
_cell_length_a 4.571
_cell_length_b 5.142
_cell_length_c 4.571
_cell_angle_alpha 90.00
_cell_angle_beta 90.00
_cell_angle_gamma 90.00
_symmetry_space_group_name_H-M 'P 1'
_symmetry_Int_Tables_number 1
loop_
_symmetry_equiv_pos_as_xyz
'x,y,z'
loop_
_atom_site_label
_atom_site_fract_x
_atom_site_fract_y
_atom_site_fract_z
Ni1 0.500 0.500 0.500
Bi1 0.000 0.500 0.000
Re1 0.500 0.000 0.000
Ti1 0.000 0.000 0.000
Re2 0.000 0.000 0.500
```

Computed properties:
E_form = 1.903 eV per atom
Energy = -32.9 eV per cell
Total magnetization = 0.000 μB/cell

---

11.
VASP calculation (GGA-PBE) on crystalline V2ReNiBi at its relaxed geometry.

```
data_V2ReNiBi
_cell_length_a 4.838
_cell_length_b 4.465
_cell_length_c 4.838
_cell_angle_alpha 90.00
_cell_angle_beta 90.00
_cell_angle_gamma 90.00
_symmetry_space_group_name_H-M 'P 1'
_symmetry_Int_Tables_number 1
loop_
_symmetry_equiv_pos_as_xyz
'x,y,z'
loop_
_atom_site_label
_atom_site_fract_x
_atom_site_fract_y
_atom_site_fract_z
Bi1 0.000 0.000 0.000
Ni1 0.000 0.500 0.000
V1 0.000 0.000 0.500
Re1 0.500 0.500 0.500
V2 0.500 0.000 0.000
```

Computed properties:
E_form = 2.288 eV per atom
Energy = -28.9 eV per cell
Total magnetization = 0.326 μB/cell

---

12.
VASP calculation (GGA-PBE) on crystalline NiBi4Rh at its relaxed geometry.

```
data_NiBi4Rh
_cell_length_a 4.038
_cell_length_b 6.122
_cell_length_c 6.171
_cell_angle_alpha 86.56
_cell_angle_beta 90.00
_cell_angle_gamma 90.00
_symmetry_space_group_name_H-M 'P 1'
_symmetry_Int_Tables_number 1
loop_
_symmetry_equiv_pos_as_xyz
'x,y,z'
loop_
_atom_site_label
_atom_site_fract_x
_atom_site_fract_y
_atom_site_fract_z
Bi1 0.000 0.267 0.328
Rh1 0.500 0.000 0.500
Ni1 0.000 0.000 0.000
Bi2 0.000 0.733 0.672
Bi3 0.500 0.260 0.846
Bi4 0.500 0.740 0.154
```

Computed properties:
E_form = -0.020 eV per atom
Energy = -28.8 eV per cell
Total magnetization = 0.000 μB/cell

---

13.
VASP calculation (GGA-PBE) on crystalline NiBi5Rh at its relaxed geometry.

```
data_NiBi5Rh
_cell_length_a 6.745
_cell_length_b 6.745
_cell_length_c 9.587
_cell_angle_alpha 72.65
_cell_angle_beta 72.65
_cell_angle_gamma 71.89
_symmetry_space_group_name_H-M 'P 1'
_symmetry_Int_Tables_number 1
loop_
_symmetry_equiv_pos_as_xyz
'x,y,z'
loop_
_atom_site_label
_atom_site_fract_x
_atom_site_fract_y
_atom_site_fract_z
Bi1 0.575 0.237 0.998
Bi2 0.425 0.763 0.002
Bi3 0.898 0.102 0.250
Bi4 0.102 0.372 0.862
Bi5 0.372 0.102 0.362
Bi6 0.898 0.628 0.138
Ni1 0.000 0.000 0.000
Bi7 0.628 0.898 0.638
Bi8 0.763 0.425 0.502
Ni2 0.000 0.000 0.500
Rh1 0.461 0.539 0.750
Bi9 0.102 0.898 0.750
Rh2 0.539 0.461 0.250
Bi10 0.237 0.575 0.498
```

Computed properties:
E_form = 0.066 eV per atom
Energy = -64.2 eV per cell
Total magnetization = 0.000 μB/cell